<i>
VASP calculation (GGA-PBE) on a relaxed TbNd3Rh crystal.

a b c (Å): 5.574 5.574 5.574
angles (deg): 90.00 90.00 90.00
Space group Pm-3m (No. 221)
Symmetry-distinct sites (fractional):
Tb: 0.000 0.000 0.000 x1
Nd: 0.000 0.500 0.500 x3
Rh: 0.500 0.500 0.500 x1

---

<ii>
VASP calculation (GGA-PBE) on a relaxed TbNd3Rh crystal.

a b c (Å): 8.832 8.383 8.641
angles (deg): 90.00 90.00 90.00
Space group Ima2 (No. 46)
Symmetry-distinct sites (fractional):
Tb: 0.250 0.044 0.000 x4
Nd: 0.052 0.711 0.202 x8
Nd: 0.250 0.041 0.400 x4
Rh: 0.250 0.136 0.703 x4

---

Most stable: <ii>

---

<i>
VASP calculation (GGA-PBE) on a relaxed TbNdRh crystal.

a b c (Å): 5.865 4.494 6.599
angles (deg): 90.00 106.21 90.00
Space group P2_1/m (No. 11)
Symmetry-distinct sites (fractional):
Tb: 0.026 0.250 0.203 x2
Nd: 0.430 0.250 0.716 x2
Rh: 0.161 0.750 0.449 x2

---

<ii>
VASP calculation (GGA-PBE) on a relaxed TbNdRh crystal.

a b c (Å): 6.980 6.065 10.416
angles (deg): 90.00 128.75 90.00
Space group P2_1/c (No. 14)
Symmetry-distinct sites (fractional):
Tb: 0.165 0.118 0.369 x4
Nd: 0.314 0.634 0.616 x4
Rh: 0.165 0.169 0.635 x4

---

<iii>
VASP calculation (GGA-PBE) on a relaxed TbNdRh crystal.

a b c (Å): 6.920 6.920 6.920
angles (deg): 90.00 90.00 90.00
Space group F-43m (No. 216)
Symmetry-distinct sites (fractional):
Tb: 0.000 0.000 0.000 x4
Nd: 0.000 0.000 0.500 x4
Rh: 0.250 0.250 0.750 x4

---

Most stable: <i>

---

<i>
VASP calculation (GGA-PBE) on a relaxed Nd3Te2Rh crystal.

a b c (Å): 4.421 4.421 18.719
angles (deg): 90.00 90.00 90.00
Space group I4/mmm (No. 139)
Symmetry-distinct sites (fractional):
Nd: 0.000 0.000 0.000 x2
Nd: 0.000 0.000 0.357 x4
Te: 0.000 0.000 0.175 x4
Rh: 0.000 0.000 0.500 x2

---

<ii>
VASP calculation (GGA-PBE) on a relaxed Nd3Te2Rh crystal.

a b c (Å): 14.253 6.336 8.460
angles (deg): 90.00 107.27 90.00
Space group C2/c (No. 15)
Symmetry-distinct sites (fractional):
Nd: 0.000 0.001 0.250 x4
Nd: 0.138 0.500 0.069 x8
Te: 0.178 0.000 0.089 x8
Rh: 0.000 0.500 0.250 x4

---

Most stable: <ii>

---

<i>
VASP calculation (GGA-PBE) on a relaxed Nd2TeRh crystal.

a b c (Å): 7.316 4.226 7.899
angles (deg): 90.00 108.04 90.00
Space group C2/m (No. 12)
Symmetry-distinct sites (fractional):
Nd: 0.237 0.000 0.212 x4
Te: 0.000 0.000 0.500 x2
Rh: 0.000 0.500 0.000 x2

---

<ii>
VASP calculation (GGA-PBE) on a relaxed Nd2TeRh crystal.

a b c (Å): 4.2116 4.2116 22.8174
angles (deg): 90.00 90.00 120.00
Space group R3m (No. 160, hexagonal axes)
Symmetry-distinct sites (fractional):
Nd: 0.0000 0.0000 0.0000 x3
Nd: 0.0000 0.0000 0.1932 x3
Te: 0.0000 0.0000 0.4302 x3
Rh: 0.0000 0.0000 0.5959 x3

---

Most stable: <i>

---

<i>
VASP calculation (GGA-PBE) on a relaxed Nd2TeRh crystal.

a b c (Å): 4.131 23.725 4.560
angles (deg): 90.00 90.00 90.00
Space group Cmcm (No. 63)
Symmetry-distinct sites (fractional):
Nd: 0.000 0.057 0.250 x4
Nd: 0.000 0.340 0.250 x4
Te: 0.000 0.194 0.250 x4
Rh: 0.000 0.458 0.250 x4

---

<ii>
VASP calculation (GGA-PBE) on a relaxed Nd2TeRh crystal.

a b c (Å): 3.713 3.713 7.537
angles (deg): 90.00 90.00 90.00
Space group P4/mmm (No. 123)
Symmetry-distinct sites (fractional):
Nd: 0.000 0.000 0.225 x2
Te: 0.500 0.500 0.500 x1
Rh: 0.500 0.500 0.000 x1

---

Most stable: <i>

---

<i>
VASP calculation (GGA-PBE) on a relaxed Nd4Te3Rh crystal.

a b c (Å): 6.314 10.190 9.370
angles (deg): 90.00 90.00 90.00
Space group Pmmn (No. 59, origin choice 2)
Symmetry-distinct sites (fractional):
Nd: 0.250 0.032 0.189 x4
Nd: 0.250 0.250 0.635 x2
Nd: 0.250 0.750 0.655 x2
Te: 0.250 0.005 0.848 x4
Te: 0.250 0.750 0.322 x2
Rh: 0.250 0.250 0.350 x2

---

<ii>
VASP calculation (GGA-PBE) on a relaxed Nd4Te3Rh crystal.

a b c (Å): 9.104 12.625 4.333
angles (deg): 90.00 90.00 90.00
Space group Cmmm (No. 65)
Symmetry-distinct sites (fractional):
Nd: 0.000 0.235 0.000 x4
Nd: 0.214 0.000 0.500 x4
Te: 0.000 0.500 0.000 x2
Te: 0.250 0.250 0.500 x4
Rh: 0.000 0.000 0.000 x2

---

Most stable: <ii>

---

<i>
VASP calculation (GGA-PBE) on a relaxed NdThRh2 crystal.

a b c (Å): 4.0196 4.0196 21.1549
angles (deg): 90.00 90.00 120.00
Space group R3m (No. 160, hexagonal axes)
Symmetry-distinct sites (fractional):
Nd: 0.0000 0.0000 0.0000 x3
Th: 0.0000 0.0000 0.8278 x3
Rh: 0.0000 0.0000 0.2423 x3
Rh: 0.0000 0.0000 0.4171 x3

---

<ii>
VASP calculation (GGA-PBE) on a relaxed NdThRh2 crystal.

a b c (Å): 3.877 4.341 5.799
angles (deg): 90.00 109.32 90.00
Space group Pm (No. 6)
Symmetry-distinct sites (fractional):
Nd: 0.000 0.000 0.000 x1
Th: 0.725 0.500 0.451 x1
Rh: 0.268 0.000 0.537 x1
Rh: 0.454 0.500 0.908 x1

---

Most stable: <ii>

---

<i>
VASP calculation (GGA-PBE) on a relaxed Nd2TlRh crystal.

a b c (Å): 3.596 3.596 8.081
angles (deg): 90.00 90.00 90.00
Space group P4/mmm (No. 123)
Symmetry-distinct sites (fractional):
Nd: 0.000 0.000 0.212 x2
Tl: 0.500 0.500 0.500 x1
Rh: 0.500 0.500 0.000 x1

---

<ii>
VASP calculation (GGA-PBE) on a relaxed Nd2TlRh crystal.

a b c (Å): 7.468 7.468 7.468
angles (deg): 90.00 90.00 90.00
Space group Fm-3m (No. 225)
Symmetry-distinct sites (fractional):
Nd: 0.250 0.250 0.250 x8
Tl: 0.000 0.000 0.000 x4
Rh: 0.000 0.000 0.500 x4

---

Most stable: <i>